# 1
Material: CaAc2PtO8
Method: DFT, PBE
State: optimized geometry

Computed properties:
The total energy is -6.312 eV/atom. The total magnetization comes out at 4.09 μB/f.u. The uncorrected formation energy is -1.65 eV per atom.

Unit cell a=5.6240 b=5.6240 c=6.6175 alpha=90.00 beta=90.00 gamma=120.00
Sites, in units of the cell vectors:
Ca (0.0000, 0.0000, 0.0000)
Ac (0.3333, 0.6667, 0.3510)
Ac (0.6667, 0.3333, 0.6490)
Pt (0.0000, 0.0000, 0.5000)
O (0.1635, 0.3270, 0.6748)
O (0.1635, 0.8365, 0.6748)
O (0.3270, 0.1635, 0.3252)
O (0.3333, 0.6667, 0.0217)
O (0.6667, 0.3333, 0.9783)
O (0.6730, 0.8365, 0.6748)
O (0.8365, 0.1635, 0.3252)
O (0.8365, 0.6730, 0.3252)

# 2
Material: MgMnMo2
Method: DFT, PBE
State: optimized geometry

Computed properties:
The total energy is -7.698 eV/atom. The total magnetization comes out at 2.37 μB/f.u.

Unit cell a=9.2468 b=9.2468 c=9.2468 alpha=17.85 beta=17.85 gamma=17.85
Sites, in units of the cell vectors:
Mg (0.0000, 0.0000, 0.0000)
Mn (0.2466, 0.2466, 0.2466)
Mo (0.5072, 0.5072, 0.5072)
Mo (0.7572, 0.7572, 0.7572)

# 3
Material: YHf2IrPb
Method: DFT, PBE
State: optimized geometry

Computed properties:
The total energy is -6.280 eV/atom. The total magnetization comes out at 0.00 μB/f.u.

Unit cell a=5.2228 b=5.2228 c=5.5056 alpha=90.00 beta=90.00 gamma=90.00
Sites, in units of the cell vectors:
Y (0.0000, 0.0000, 0.0000)
Hf (0.0000, 0.5000, 0.5000)
Hf (0.5000, 0.0000, 0.5000)
Ir (0.5000, 0.5000, 0.0000)
Pb (0.0000, 0.0000, 0.5000)

# 4
Material: Pm3TmRu
Method: DFT, PBE
State: optimized geometry

Computed properties:
The total energy is -5.554 eV/atom. The total magnetization comes out at 0.00 μB/f.u.

Unit cell a=5.4874 b=5.4874 c=5.4874 alpha=90.00 beta=90.00 gamma=90.00
Sites, in units of the cell vectors:
Pm (0.0000, 0.0000, 0.5000)
Pm (0.0000, 0.5000, 0.0000)
Pm (0.5000, 0.0000, 0.0000)
Tm (0.5000, 0.5000, 0.5000)
Ru (0.0000, 0.0000, 0.0000)

# 5
Material: Tb7Pr2Tl2
Method: DFT, PBE
State: optimized geometry

Computed properties:
The total energy is -4.264 eV/atom. The total magnetization comes out at 0.00 μB/f.u.

Unit cell a=11.2509 b=11.2509 c=11.2509 alpha=161.17 beta=55.52 gamma=128.29
Sites, in units of the cell vectors:
Tb (0.0000, 0.0000, 0.0000)
Tb (0.0064, 0.6690, 0.3374)
Tb (0.3317, 0.6690, 0.6626)
Tb (0.3448, 0.4770, 0.8678)
Tb (0.6093, 0.4770, 0.1322)
Tb (0.6653, 0.3009, 0.3643)
Tb (0.9366, 0.3009, 0.6357)
Pr (0.3126, 0.8126, 0.5000)
Pr (0.6613, 0.6613, 0.0000)
Tl (0.2019, 0.9582, 0.2437)
Tl (0.7146, 0.9582, 0.7563)

# 6
Material: Pm4Te3O
Method: DFT, PBE
State: optimized geometry

Computed properties:
The total energy is -5.700 eV/atom. The total magnetization comes out at 0.00 μB/f.u. The uncorrected formation energy is -1.53 eV per atom.

Unit cell a=10.0987 b=8.1808 c=6.2630 alpha=90.00 beta=90.00 gamma=90.00
Sites, in units of the cell vectors:
Pm (0.0000, 0.1259, 0.0000)
Pm (0.0000, 0.8607, 0.4913)
Pm (0.2011, 0.2477, 0.4776)
Pm (0.2989, 0.7523, 0.9776)
Pm (0.5000, 0.1393, 0.9913)
Pm (0.5000, 0.8741, 0.5000)
Pm (0.7011, 0.7523, 0.9776)
Pm (0.7989, 0.2477, 0.4776)
Te (0.0000, 0.7502, 0.9994)
Te (0.2392, 0.3589, 0.9817)
Te (0.2608, 0.6411, 0.4817)
Te (0.5000, 0.2498, 0.4994)
Te (0.7392, 0.6411, 0.4817)
Te (0.7608, 0.3589, 0.9817)
O (0.0000, 0.1355, 0.3633)
O (0.5000, 0.8645, 0.8633)

# 7
Material: Cs2MgPbI6
Method: DFT, PBE
State: optimized geometry

Computed properties:
The total energy is -2.736 eV/atom. The total magnetization comes out at 0.00 μB/f.u. The uncorrected formation energy is -1.11 eV per atom.

Unit cell a=8.6906 b=8.6906 c=8.6906 alpha=60.00 beta=60.00 gamma=60.00
Sites, in units of the cell vectors:
Cs (0.2500, 0.2500, 0.2500)
Cs (0.7500, 0.7500, 0.7500)
Mg (0.0000, 0.0000, 0.0000)
Pb (0.5000, 0.5000, 0.5000)
I (0.2391, 0.2391, 0.7609)
I (0.2391, 0.7609, 0.2391)
I (0.2391, 0.7609, 0.7609)
I (0.7609, 0.2391, 0.2391)
I (0.7609, 0.2391, 0.7609)
I (0.7609, 0.7609, 0.2391)

# 8
Material: Li2MgCdHg8
Method: DFT, PBE
State: optimized geometry

Computed properties:
The total energy is -0.778 eV/atom. The total magnetization comes out at 0.00 μB/f.u.

Unit cell a=6.3216 b=6.3216 c=8.6671 alpha=90.00 beta=90.00 gamma=120.00
Sites, in units of the cell vectors:
Li (0.3333, 0.6667, 0.4270)
Li (0.6667, 0.3333, 0.5730)
Mg (0.0000, 0.0000, 0.0000)
Cd (0.0000, 0.0000, 0.5000)
Hg (0.1770, 0.3539, 0.7513)
Hg (0.1770, 0.8230, 0.7513)
Hg (0.3333, 0.6667, 0.0921)
Hg (0.3539, 0.1770, 0.2487)
Hg (0.6461, 0.8230, 0.7513)
Hg (0.6667, 0.3333, 0.9079)
Hg (0.8230, 0.1770, 0.2487)
Hg (0.8230, 0.6461, 0.2487)